# KRuF6, relaxed, DFT GGA-PBE
# M_tot ... 3.0 μB per formula unit
# E_form (uncorrected) ... -2.121 eV/atom
# Total DFT energy (no corrections) ... -4.82 eV per atom
data_KRuF6
_chemical_formula_sum 'K1 Ru1 F6'
_space_group_name_H-M_alt 'P 1'
_space_group_IT_number 1
_space_group_name_Hall 'P 1'
_cell_length_a 5.1158
_cell_length_b 5.1158
_cell_length_c 5.1158
_cell_angle_alpha 97.90
_cell_angle_beta 97.90
_cell_angle_gamma 97.90
loop_
_atom_site_label
_atom_site_fract_x
_atom_site_fract_y
_atom_site_fract_z
_atom_site_occupancy
K1 0.5000 0.5000 0.5000 1
Ru1 0.0000 0.0000 0.0000 1
F1 0.2634 0.2634 0.9193 1
F2 0.9193 0.2634 0.2634 1
F3 0.0807 0.7366 0.7366 1
F4 0.7366 0.7366 0.0807 1
F5 0.7366 0.0807 0.7366 1
F6 0.2634 0.9193 0.2634 1